First-principles (GGA+U) data for Ca3CrB2O6 after structural relaxation, as listed in Alexandria via LeMat-Bulk.

abc: 5.1980 5.1980 7.1465
angles: 90.00 90.00 120.00
Space group P-3m1 (No. 164)
Symmetry-distinct sites (fractional):
Ca 0.0000 0.0000 0.0000
Ca 0.3333 0.6667 0.7336
Cr 0.0000 0.0000 0.5000
B 0.3333 0.6667 0.2327
O 0.1796 0.3593 0.2341

Summary:
- calculated density (g/cm3) = 2.9
- final energy (eV/cell) = -83.945
- calculated volume (Å³/cell) = 167.2